Here is a geometry-optimized NaScCuCl6 structure from the Alexandria database. Energies are from PBE-GGA.

Output
space-group type	P312 (149)
volume	24.65	A^3/atom
energy relative to the elements, uncorrected	-1.466	eV per atom
crystal system	trigonal

The structure in POSCAR format:
```
NaScCuCl6
1.0
6.282 0.000 0.000
0.000 6.386 0.000
0.000 -3.193 5.530
Cu Cl Sc Na
1 6 1 1
Direct
0.500 0.000 0.000
0.275 0.328 0.301
0.725 0.328 0.028
0.275 0.699 0.028
0.725 0.699 0.672
0.275 0.972 0.672
0.725 0.972 0.301
0.500 0.667 0.333
0.000 0.333 0.667
```

=====

Here is a geometry-optimized Mn2ZnHg structure from the Alexandria database. Energies are from PBE-GGA.

Output
space-group type	Imm2 (44)
volume	16.19	A^3/atom
energy of formation	0.302	eV per atom
crystal system	orthorhombic
offset from the most stable computed form	0.110	eV/atom

The structure in POSCAR format:
```
Mn2ZnHg
1.0
5.390 0.022 0.046
2.568 4.739 -0.046
-3.462 -3.245 2.557
Mn Hg Zn
2 1 1
Direct
0.991 0.991 0.000
0.746 0.246 0.500
0.256 0.756 0.500
0.507 0.507 0.000
```

=====

Here is a geometry-optimized LaPrHo2Se6 structure from the Alexandria database. Energies are from PBE-GGA.

Output
space-group type	R3 (146)
volume	30.75	A^3/atom
energy relative to the elements, uncorrected	-1.879	eV per atom
crystal system	trigonal

The structure in POSCAR format:
```
LaPrHo2Se6
1.0
-0.904 -5.137 -5.246
-0.722 -7.119 1.879
-6.975 -3.333 -0.749
Ho Se La Pr
2 6 1 1
Direct
0.514 0.514 0.457
0.013 0.014 0.959
0.388 0.732 0.743
0.732 0.137 0.743
0.894 0.632 0.244
0.137 0.388 0.743
0.632 0.231 0.244
0.231 0.894 0.244
0.810 0.810 0.571
0.311 0.311 0.066
```

=====

Here is a geometry-optimized CeNd2Dy structure from the Alexandria database. Energies are from PBE-GGA.

Output
space-group type	R3m (160)
volume	32.97	A^3/atom
energy of formation	0.069	eV per atom
crystal system	trigonal
offset from the most stable computed form	0.001	eV/atom

The structure in POSCAR format:
```
CeNd2Dy
1.0
3.599 0.000 0.000
1.799 3.117 0.000
1.799 1.039 11.757
Dy Ce Nd
1 1 2
Direct
0.667 0.667 0.000
0.500 0.500 0.499
0.250 0.250 0.251
0.083 0.083 0.750
```